Entry 1:
# Li2AlBi

Li2AlBi after structural relaxation (PBE, Alexandria via LeMat-Bulk).

The structure in extended XYZ format:
```
4
Lattice="3.265 0.000 0.000 1.633 2.828 0.000 1.633 0.943 10.018" Properties=species:S:1:pos:R:3 pbc="T T T"
Al 3.265 1.885 5.009
Bi 0.000 0.000 0.000
Li 4.898 2.828 2.832
Li 1.633 0.943 7.185
```

Results
- Energy: -11.25 eV/f.u.
- Space-group type: R-3m (166)
- Formation energy: 49 meV/atom
- Size of the total moment: 0.0 μB per formula unit

---

Entry 2:
# Li2AlBi2

Li2AlBi2 after structural relaxation (PBE, Alexandria via LeMat-Bulk).

The structure in extended XYZ format:
```
5
Lattice="4.718 0.000 0.000 0.000 4.718 0.000 2.359 2.359 5.927" Properties=species:S:1:pos:R:3 pbc="T T T"
Li 4.718 4.718 4.631
Bi 4.718 2.359 2.963
Bi 2.359 4.718 2.963
Al 0.000 0.000 0.000
Li 2.359 2.359 1.296
```

Results
- Energy: -14.66 eV/f.u.
- Offset from the most stable computed form: 265.4 meV per atom
- Space-group type: I4/mmm (139)
- Formation energy: 134 meV/atom
- Size of the total moment: 0.0 μB per formula unit

---

Entry 3:
# Li2AlBi2

Li2AlBi2 after structural relaxation (PBE, Alexandria via LeMat-Bulk).

The structure in extended XYZ format:
```
5
Lattice="4.656 0.000 0.000 0.000 4.656 0.000 2.328 2.328 6.074" Properties=species:S:1:pos:R:3 pbc="T T T"
Li 4.656 2.328 3.037
Bi 2.328 2.328 1.440
Li 2.328 4.656 3.037
Bi 4.656 4.656 4.634
Al 0.000 0.000 0.000
```

Results
- Energy: -14.97 eV/f.u.
- Offset from the most stable computed form: 202.8 meV per atom
- Space-group type: I4/mmm (139)
- Formation energy: 72 meV/atom
- Size of the total moment: 0.0 μB per formula unit